# 1
Density functional theory data (PBE-GGA) for crystalline TlGe2Pb2 at its relaxed geometry.

Computed properties:
* energy of formation: 0.92 eV per formula unit
* E above lowest polymorph: 20 meV per atom
* magnetization: 0.0 μB per cell

Cell: 8.717 8.717 3.634 Å, 90.00 90.00 90.00°
Atoms (fractional coordinates):
Tl 0.000 0.000 0.000
Tl 0.500 0.500 0.000
Ge 0.880 0.620 0.000
Ge 0.120 0.380 0.000
Ge 0.380 0.880 0.000
Ge 0.620 0.120 0.000
Pb 0.162 0.662 0.500
Pb 0.838 0.338 0.500
Pb 0.338 0.162 0.500
Pb 0.662 0.838 0.500

***

# 2
Density functional theory data (PBE-GGA) for crystalline Tl2GePb at its relaxed geometry.

Computed properties:
* energy of formation: 1.57 eV per formula unit
* E above lowest polymorph: 236 meV per atom
* magnetization: 0.0 μB per cell

Cell: 6.852 6.852 7.960 Å, 64.51 64.51 90.00°
Atoms (fractional coordinates):
Tl 0.166 0.625 0.250
Tl 0.584 0.125 0.250
Tl 0.375 0.416 0.750
Tl 0.875 0.834 0.750
Ge 0.250 0.750 0.500
Ge 0.500 0.500 0.000
Pb 0.000 0.000 0.000
Pb 0.750 0.250 0.500

***

# 3
Density functional theory data (PBE-GGA) for crystalline TlGe2Pb2 at its relaxed geometry.

Computed properties:
* energy of formation: 0.82 eV per formula unit
* E above lowest polymorph: 0 meV per atom
* magnetization: 0.0 μB per cell

Cell: 5.106 5.106 6.754 Å, 67.79 67.79 90.00°
Atoms (fractional coordinates):
Ge 0.610 0.610 0.780
Ge 0.390 0.390 0.220
Pb 0.250 0.750 0.500
Pb 0.750 0.250 0.500
Tl 0.000 0.000 0.000

***

# 4
Density functional theory data (PBE-GGA) for crystalline Tl2GePb at its relaxed geometry.

Computed properties:
* energy of formation: 0.74 eV per formula unit
* E above lowest polymorph: 28 meV per atom
* magnetization: 0.0 μB per cell

Cell: 3.397 3.397 11.763 Å, 81.70 81.70 60.00°
Atoms (fractional coordinates):
Ge 0.500 0.500 0.500
Tl 0.906 0.906 0.283
Tl 0.094 0.094 0.717
Pb 0.000 0.000 0.000

***

# 5
Density functional theory data (PBE-GGA) for crystalline TlGePb at its relaxed geometry.

Computed properties:
* energy of formation: 0.64 eV per formula unit
* E above lowest polymorph: 91 meV per atom
* magnetization: 0.0 μB per cell

Cell: 3.216 5.453 5.453 Å, 120.00 90.00 90.00°
Atoms (fractional coordinates):
Pb 0.119 0.000 0.000
Ge 0.234 0.667 0.333
Tl 0.647 0.333 0.667

***

# 6
Density functional theory data (PBE-GGA) for crystalline TlGePb2 at its relaxed geometry.

Computed properties:
* energy of formation: 0.45 eV per formula unit
* magnetization: 0.0 μB per cell

Cell: 3.864 3.864 7.703 Å, 90.00 90.00 90.00°
Atoms (fractional coordinates):
Ge 0.500 0.500 0.000
Pb 0.000 0.000 0.789
Pb 0.000 0.000 0.211
Tl 0.500 0.500 0.500

***

# 7
Density functional theory data (PBE-GGA) for crystalline TlGe3Pb at its relaxed geometry.

Computed properties:
* energy of formation: 4.39 eV per formula unit
* magnetization: 0.0 μB per cell

Cell: 5.520 5.520 5.520 Å, 90.00 90.00 90.00°
Atoms (fractional coordinates):
Ge 0.000 0.000 0.500
Ge 0.500 0.000 0.000
Ge 0.000 0.500 0.000
Tl 0.500 0.500 0.500
Pb 0.000 0.000 0.000

***

# 8
Density functional theory data (PBE-GGA) for crystalline Tl2GePb at its relaxed geometry.

Computed properties:
* energy of formation: 0.63 eV per formula unit
* E above lowest polymorph: 0 meV per atom
* magnetization: 0.0 μB per cell

Cell: 4.996 4.740 4.740 Å, 90.00 90.00 90.00°
Atoms (fractional coordinates):
Tl 0.000 0.500 0.000
Tl 0.000 0.000 0.500
Ge 0.500 0.500 0.500
Pb 0.500 0.000 0.000

***

# 9
Density functional theory data (PBE-GGA) for crystalline TlGe2Pb2 at its relaxed geometry.

Computed properties:
* energy of formation: 1.09 eV per formula unit
* E above lowest polymorph: 55 meV per atom
* magnetization: 0.0 μB per cell

Cell: 9.028 9.028 3.418 Å, 90.00 90.00 90.00°
Atoms (fractional coordinates):
Ge 0.145 0.645 0.500
Ge 0.355 0.145 0.500
Ge 0.855 0.355 0.500
Ge 0.645 0.855 0.500
Pb 0.354 0.854 0.000
Pb 0.146 0.354 0.000
Pb 0.854 0.646 0.000
Pb 0.646 0.146 0.000
Tl 0.000 0.000 0.000
Tl 0.500 0.500 0.000

***

# 10
Density functional theory data (PBE-GGA) for crystalline TlGePb3 at its relaxed geometry.

Computed properties:
* energy of formation: 1.85 eV per formula unit
* E above lowest polymorph: 0 meV per atom
* magnetization: 0.0 μB per cell

Cell: 5.617 5.617 5.617 Å, 90.00 90.00 90.00°
Atoms (fractional coordinates):
Tl 0.500 0.500 0.500
Pb 0.000 0.000 0.500
Pb 0.500 0.000 0.000
Pb 0.000 0.500 0.000
Ge 0.000 0.000 0.000

***

# 11
Density functional theory data (PBE-GGA) for crystalline Tl2GePb at its relaxed geometry.

Computed properties:
* energy of formation: 0.81 eV per formula unit
* E above lowest polymorph: 45 meV per atom
* magnetization: 0.0 μB per cell

Cell: 5.409 5.409 5.409 Å, 60.00 60.00 60.00°
Atoms (fractional coordinates):
Tl 0.750 0.750 0.750
Tl 0.250 0.250 0.250
Ge 0.000 0.000 0.000
Pb 0.500 0.500 0.500

***

# 12
Density functional theory data (PBE-GGA) for crystalline TlGePb at its relaxed geometry.

Computed properties:
* energy of formation: 0.37 eV per formula unit
* E above lowest polymorph: 0 meV per atom
* magnetization: 0.0 μB per cell

Cell: 6.190 6.190 6.112 Å, 101.95 101.95 126.23°
Atoms (fractional coordinates):
Pb 0.159 0.159 0.318
Pb 0.841 0.841 0.682
Tl 0.655 0.345 0.000
Tl 0.345 0.655 0.000
Ge 0.750 0.250 0.500
Ge 0.250 0.750 0.500

***

# 13
Density functional theory data (PBE-GGA) for crystalline TlGePb2 at its relaxed geometry.

Computed properties:
* energy of formation: 0.61 eV per formula unit
* magnetization: 0.0 μB per cell

Cell: 4.752 4.895 4.895 Å, 90.00 90.00 90.00°
Atoms (fractional coordinates):
Tl 0.500 0.500 0.500
Pb 0.000 0.000 0.500
Pb 0.000 0.500 0.000
Ge 0.500 0.000 0.000

***

# 14
Density functional theory data (PBE-GGA) for crystalline TlGePb3 at its relaxed geometry.

Computed properties:
* energy of formation: 4.09 eV per formula unit
* E above lowest polymorph: 448 meV per atom
* magnetization: 0.0 μB per cell

Cell: 5.825 5.825 5.825 Å, 90.00 90.00 90.00°
Atoms (fractional coordinates):
Tl 0.000 0.000 0.000
Pb 0.000 0.000 0.500
Pb 0.000 0.500 0.000
Pb 0.500 0.000 0.000
Ge 0.500 0.500 0.500

***

# 15
Density functional theory data (PBE-GGA) for crystalline Tl2GePb at its relaxed geometry.

Computed properties:
* energy of formation: 0.71 eV per formula unit
* E above lowest polymorph: 21 meV per atom
* magnetization: 0.0 μB per cell

Cell: 3.796 3.796 7.718 Å, 90.00 90.00 90.00°
Atoms (fractional coordinates):
Pb 0.500 0.500 0.500
Ge 0.500 0.500 0.000
Tl 0.000 0.000 0.223
Tl 0.000 0.000 0.777

***

# 16
Density functional theory data (PBE-GGA) for crystalline TlGe2Pb2 at its relaxed geometry.

Computed properties:
* energy of formation: 0.84 eV per formula unit
* E above lowest polymorph: 5 meV per atom
* magnetization: 0.0 μB per cell

Cell: 4.166 4.166 8.770 Å, 76.26 76.26 90.00°
Atoms (fractional coordinates):
Pb 0.383 0.383 0.234
Pb 0.617 0.617 0.766
Ge 0.250 0.750 0.500
Ge 0.750 0.250 0.500
Tl 0.000 0.000 0.000

***

# 17
Density functional theory data (PBE-GGA) for crystalline TlGePb2 at its relaxed geometry.

Computed properties:
* energy of formation: 1.18 eV per formula unit
* magnetization: 0.0 μB per cell

Cell: 6.898 6.898 8.032 Å, 64.57 64.57 90.00°
Atoms (fractional coordinates):
Pb 0.375 0.407 0.750
Pb 0.157 0.625 0.250
Pb 0.875 0.843 0.750
Pb 0.593 0.125 0.250
Tl 0.000 0.000 0.000
Tl 0.750 0.250 0.500
Ge 0.250 0.750 0.500
Ge 0.500 0.500 0.000

***

# 18
Density functional theory data (PBE-GGA) for crystalline Tl3GePb12 at its relaxed geometry.

Computed properties:
* energy of formation: 1.33 eV per formula unit
* magnetization: 0.0 μB per cell

Cell: 5.980 5.980 13.975 Å, 90.00 90.00 90.00°
Atoms (fractional coordinates):
Tl 0.000 0.000 0.500
Tl 0.000 0.000 0.242
Tl 0.000 0.000 0.758
Pb 0.000 0.500 0.373
Pb 0.500 0.500 0.751
Pb 0.000 0.500 0.627
Pb 0.500 0.000 0.884
Pb 0.500 0.500 0.249
Pb 0.500 0.000 0.627
Pb 0.500 0.500 0.000
Pb 0.500 0.500 0.500
Pb 0.000 0.500 0.884
Pb 0.500 0.000 0.116
Pb 0.500 0.000 0.373
Pb 0.000 0.500 0.116
Ge 0.000 0.000 0.000

***

# 19
Density functional theory data (PBE-GGA) for crystalline TlGePb2 at its relaxed geometry.

Computed properties:
* energy of formation: 0.69 eV per formula unit
* magnetization: 0.0 μB per cell

Cell: 4.448 4.448 7.751 Å, 73.33 73.33 60.00°
Atoms (fractional coordinates):
Pb 0.067 0.067 0.799
Pb 0.265 0.265 0.204
Tl 0.501 0.501 0.496
Ge 0.666 0.666 0.001

***

# 20
Density functional theory data (PBE-GGA) for crystalline TlGePb at its relaxed geometry.

Computed properties:
* energy of formation: 0.55 eV per formula unit
* E above lowest polymorph: 61 meV per atom
* magnetization: 0.0 μB per cell

Cell: 5.073 5.073 5.073 Å, 60.00 60.00 60.00°
Atoms (fractional coordinates):
Tl 0.000 0.000 0.000
Ge 0.250 0.250 0.250
Pb 0.500 0.500 0.500